Entry 1:
Entry from Alexandria via LeMat-Bulk: a relaxed structure of Na2LaCdS (PBE-GGA).

abc: 7.136 5.279 7.136
angles: 90.00 90.00 90.00
Each line ends with the local moment (μB).
Atoms (fractional coordinates):
Na 0.000 0.000 0.500  0.02
Na 0.500 0.000 0.000  0.04
S 0.000 0.500 0.000  0.00
Cd 0.500 0.500 0.500  0.01
La 0.000 0.000 0.000  0.15

Output
- Energy relative to the elements, uncorrected: 0.0 eV/f.u.
- Spin magnetization: 0.805 Bohr magnetons per cell

---

Entry 2:
Entry from Alexandria via LeMat-Bulk: a relaxed structure of Na2LaCdSb2 (PBE-GGA).

abc: 4.813 7.785 9.375
angles: 90.00 90.00 90.00
Atoms (fractional coordinates):
Na 0.500 0.031 0.077
Na 0.000 0.349 0.157
Na 0.500 0.531 0.923
Na 0.000 0.849 0.843
La 0.000 0.989 0.458
La 0.000 0.489 0.542
Cd 0.500 0.156 0.685
Cd 0.500 0.656 0.315
Sb 0.000 0.256 0.833
Sb 0.500 0.264 0.368
Sb 0.000 0.756 0.167
Sb 0.500 0.764 0.632

Output
- Energy relative to the elements, uncorrected: -3.5 eV/f.u.
- Spin magnetization: 0.000 Bohr magnetons per cell

---

Entry 3:
Entry from Alexandria via LeMat-Bulk: a relaxed structure of NaLaCdSb (PBE-GGA).

abc: 5.449 5.449 5.449
angles: 60.00 60.00 60.00
Atoms (fractional coordinates):
Sb 0.000 0.000 0.000
Cd 0.500 0.500 0.500
Na 0.250 0.250 0.250
La 0.750 0.750 0.750

Output
- Energy relative to the elements, uncorrected: -2.0 eV/f.u.
- Spin magnetization: 0.000 Bohr magnetons per cell

---

Entry 4:
Entry from Alexandria via LeMat-Bulk: a relaxed structure of NaLaCdSe3 (PBE-GGA).

abc: 4.224 7.927 9.991
angles: 105.92 90.00 90.00
Atoms (fractional coordinates):
Na 0.250 0.655 0.098
Na 0.750 0.345 0.902
La 0.250 0.207 0.234
La 0.750 0.793 0.766
Cd 0.250 0.174 0.637
Cd 0.750 0.826 0.363
Se 0.750 0.920 0.116
Se 0.250 0.080 0.884
Se 0.250 0.789 0.525
Se 0.750 0.211 0.475
Se 0.750 0.459 0.198
Se 0.250 0.541 0.802

Output
- Energy relative to the elements, uncorrected: -7.5 eV/f.u.
- Spin magnetization: 0.000 Bohr magnetons per cell